[1]
VASP calculation (PBE) on an optimized crystal structure of H2IrRu.

Cell and atoms, written as POSCAR:
```
H2IrRu
1.0
4.1441 0.0000 0.0000
0.0000 4.1441 0.0000
2.0720 2.0720 4.1532
Ru Ir H
2 2 4
direct
0.2500 0.7500 0.5000
0.5000 0.5000 0.0000
0.7500 0.2500 0.5000
0.0000 0.0000 0.0000
0.1238 0.6250 0.2500
0.6262 0.1250 0.2500
0.3750 0.3738 0.7500
0.8750 0.8762 0.7500
```

## Properties
E above lowest polymorph = 0.0 meV per atom

=====

[2]
VASP calculation (PBE) on an optimized crystal structure of Pr2Sm6In.

Cell and atoms, written as POSCAR:
```
Pr2Sm6In
1.0
6.2682 -0.9036 0.2661
-2.1481 9.1395 6.2211
-3.4391 1.7619 11.4575
Sm Pr In
12 4 2
direct
0.3780 0.9705 0.1335
0.7264 0.4711 0.6331
0.9595 0.1867 0.0251
0.5039 0.5920 0.0893
0.0405 0.8133 0.9749
0.7478 0.3133 0.4748
0.8227 0.9083 0.4105
0.2736 0.5289 0.3669
0.6220 0.0295 0.8665
0.1773 0.0917 0.5895
0.4961 0.4080 0.9107
0.2522 0.6867 0.5252
0.0605 0.6434 0.8027
0.6147 0.8567 0.6975
0.3853 0.1433 0.3025
0.9395 0.3566 0.1973
0.8292 0.7500 0.2499
0.1708 0.2500 0.7501
```

## Properties
E above lowest polymorph = 0.0 meV per atom
calculated formation energy = -0.08 eV per atom

=====

[3]
VASP calculation (PBE) on an optimized crystal structure of K5Rb2CdAu2.

Cell and atoms, written as POSCAR:
```
K5Rb2CdAu2
1.0
-3.1268 -1.2701 3.4568
10.5703 -0.8330 9.2552
-1.8372 13.5535 3.3181
Cd K Rb Au
2 10 4 4
direct
0.0000 0.0000 0.0000
0.0000 0.5000 0.5000
0.5000 0.7076 0.4330
0.5000 0.2924 0.5670
0.5000 0.7924 0.9330
0.5000 0.4330 0.2924
0.5000 0.9330 0.2076
0.5000 0.2076 0.0670
0.5000 0.0670 0.7924
0.5000 0.5670 0.7076
0.5000 0.0000 0.5000
0.5000 0.5000 0.0000
0.0000 0.6758 0.1758
0.0000 0.3242 0.8242
0.0000 0.1758 0.3242
0.0000 0.8242 0.6758
0.0000 0.3769 0.1231
0.0000 0.8769 0.3769
0.0000 0.6231 0.8769
0.0000 0.1231 0.6231
```

## Properties
calculated formation energy = -0.12 eV per atom

=====

[4]
VASP calculation (PBE) on an optimized crystal structure of Dy8HgIr2.

Cell and atoms, written as POSCAR:
```
Dy8HgIr2
1.0
-4.7028 -0.7269 2.7516
0.6577 -7.3017 -2.8545
4.6306 1.3372 6.2181
Dy Hg Ir
8 1 2
direct
0.4178 0.6731 0.9340
0.1973 0.3843 0.3843
0.5823 0.3333 0.0723
0.9999 0.2484 0.7581
0.8024 0.6214 0.6214
0.4178 0.9340 0.6731
0.5823 0.0723 0.3333
0.9999 0.7581 0.2484
0.0005 0.0027 0.0027
0.4998 0.3124 0.6937
0.4998 0.6937 0.3124
```

## Properties
calculated formation energy = -0.41 eV per atom

=====

[5]
VASP calculation (PBE) on an optimized crystal structure of Nd6Sb3PSe2.

Cell and atoms, written as POSCAR:
```
Nd6Sb3PSe2
1.0
4.3669 0.0000 0.0000
0.0000 8.7466 0.3064
-2.1835 -2.5222 9.2009
Se Nd Sb P
2 6 3 1
direct
0.1664 0.3342 0.3328
0.8336 0.6658 0.6672
0.9993 0.7677 0.9986
0.3419 0.9154 0.6838
0.3326 0.4211 0.6652
0.6581 0.0846 0.3162
0.0007 0.2323 0.0014
0.6674 0.5789 0.3348
0.1694 0.8345 0.3389
0.8306 0.1655 0.6611
0.5000 0.5000 0.0000
0.5000 0.0000 0.0000
```

## Properties
formation energy from raw total energies = -1.48 eV per atom

=====

[6]
VASP calculation (PBE) on an optimized crystal structure of NaPaF5.

Cell and atoms, written as POSCAR:
```
NaPaF5
1.0
0.3185 5.6643 -2.1168
-1.5239 3.3671 4.7966
6.5459 3.1609 2.7948
Pa F Na
2 10 2
direct
0.4325 0.5675 0.2500
0.5675 0.4325 0.7500
0.6553 0.3255 0.4587
0.3255 0.6553 0.9587
0.3447 0.6745 0.5413
0.1403 0.8597 0.2500
0.6930 0.7935 0.1392
0.3070 0.2065 0.8608
0.6745 0.3447 0.0413
0.8597 0.1403 0.7500
0.2065 0.3070 0.3608
0.7935 0.6930 0.6392
0.0000 0.0000 0.0000
0.0000 0.0000 0.5000
```

## Properties
E above lowest polymorph = 0.0 meV per atom
formation energy from raw total energies = -3.54 eV per atom

=====

What total magnetic moment values result from the calculations? In sequence: 0.000 0.000 0.000 0.000 0.000 0.143 μB/atom.
What electronic total energy values result from the calculations? In sequence: -5.892 -4.596 -1.606 -5.397 -5.921 -6.418 eV per atom.